Record 1
Compound: KTaCo2
Source: the Alexandria database
Functional: GGA-PBE
Structure: optimized geometry

Values from the calculation:
Formation energy (eV per atom): 1.0183
SG: P4/mmm (123)

Cell lengths 5.035, 5.035, 2.689 Å; angles 90.00, 90.00, 90.00 degrees
Positions (direct):
K  0.000  0.000  0.000
Ta  0.500  0.500  0.000
Co  0.000  0.500  0.500
Co  0.500  0.000  0.500

Record 2
Compound: KTaCo2
Source: the Alexandria database
Functional: GGA-PBE
Structure: optimized geometry

Values from the calculation:
Formation energy (eV per atom): 0.6380
SG: Cm (8)

Cell lengths 4.302, 4.302, 8.052 Å; angles 113.38, 113.38, 39.49 degrees
Positions (direct):
K  0.000  0.000  0.000
Ta  0.240  0.240  0.505
Co  0.582  0.582  0.638
Co  0.898  0.898  0.370

Record 3
Compound: K2TaCo
Source: the Alexandria database
Functional: GGA-PBE
Structure: optimized geometry

Values from the calculation:
Formation energy (eV per atom): 1.3628
SG: C2/m (12)

Cell lengths 6.794, 6.794, 2.896 Å; angles 101.48, 101.48, 130.55 degrees
Positions (direct):
K  0.000  0.500  0.000
K  0.500  0.000  0.000
Ta  0.000  0.000  0.500
Co  0.500  0.500  0.500

Record 4
Compound: K2Ta2Co
Source: the Alexandria database
Functional: GGA-PBE
Structure: optimized geometry

Values from the calculation:
Formation energy (eV per atom): 1.8928
SG: P4/mbm (127)

Cell lengths 10.567, 10.567, 2.768 Å; angles 90.00, 90.00, 90.00 degrees
Positions (direct):
K  0.207  0.293  0.000
K  0.293  0.793  0.000
K  0.707  0.207  0.000
K  0.793  0.707  0.000
Ta  0.082  0.582  0.500
Ta  0.418  0.082  0.500
Ta  0.582  0.918  0.500
Ta  0.918  0.418  0.500
Co  0.000  0.000  0.000
Co  0.500  0.500  0.000

Record 5
Compound: KTaCo2
Source: the Alexandria database
Functional: GGA-PBE
Structure: optimized geometry

Values from the calculation:
Formation energy (eV per atom): 0.6333
SG: C2/m (12)

Cell lengths 4.304, 4.304, 7.305 Å; angles 96.42, 96.42, 39.62 degrees
Positions (direct):
K  0.000  0.000  0.000
Ta  0.500  0.500  0.500
Co  0.228  0.228  0.634
Co  0.772  0.772  0.366

Record 6
Compound: K2TaCo
Source: the Alexandria database
Functional: GGA-PBE
Structure: optimized geometry

Values from the calculation:
Formation energy (eV per atom): 1.4335
SG: Cmmm (65)

Cell lengths 6.614, 6.614, 2.810 Å; angles 90.00, 90.00, 130.70 degrees
Positions (direct):
K  0.000  0.500  0.000
K  0.500  0.000  0.000
Ta  0.000  0.000  0.500
Co  0.500  0.500  0.500

no.,magnetization (Bohr magnetons per cell)
1,2.34
2,1.14
3,0.67
4,2.47
5,1.12
6,0.47